(1)
Computed, not measured: a geometry-optimized SrHfIn2Ag structure at the PBE-GGA level of DFT.

Structure (CIF):
```
data_SrHfIn2Ag
_space_group_name_H-M_alt 'P 4/m m m'
_space_group_IT_number 123
_space_group_name_Hall '-P 4 2'
_cell_length_a 5.899
_cell_length_b 5.899
_cell_length_c 5.564
_cell_angle_alpha 90.00
_cell_angle_beta 90.00
_cell_angle_gamma 90.00
loop_
_atom_site_label
_atom_site_fract_x
_atom_site_fract_y
_atom_site_fract_z
Sr1 0.000 0.000 0.000
Hf1 0.000 0.000 0.500
In1 0.000 0.500 0.000
Ag1 0.500 0.500 0.500
```

ΔH_f (0 K), meV/atom: 1535
Final energy, eV/atom: -2.4577

(2)
Computed, not measured: a geometry-optimized TbHfInAg structure at the PBE-GGA level of DFT.

Structure (CIF):
```
data_TbHfInAg
_space_group_name_H-M_alt 'F -4 3 m'
_space_group_IT_number 216
_space_group_name_Hall 'F -4 2 3'
_cell_length_a 7.185
_cell_length_b 7.185
_cell_length_c 7.185
_cell_angle_alpha 90.00
_cell_angle_beta 90.00
_cell_angle_gamma 90.00
loop_
_atom_site_label
_atom_site_fract_x
_atom_site_fract_y
_atom_site_fract_z
Tb1 0.000 0.000 0.000
Hf1 0.000 0.000 0.500
In1 0.250 0.250 0.250
Ag1 0.250 0.250 0.750
```

ΔH_f (0 K), meV/atom: -132
Final energy, eV/atom: -5.1757

(3)
Computed, not measured: a geometry-optimized HfTiInAg structure at the PBE-GGA level of DFT.

Structure (CIF):
```
data_HfTiInAg
_space_group_name_H-M_alt 'F -4 3 m'
_space_group_IT_number 216
_space_group_name_Hall 'F -4 2 3'
_cell_length_a 6.797
_cell_length_b 6.797
_cell_length_c 6.797
_cell_angle_alpha 90.00
_cell_angle_beta 90.00
_cell_angle_gamma 90.00
loop_
_atom_site_label
_atom_site_fract_x
_atom_site_fract_y
_atom_site_fract_z
Hf1 0.000 0.000 0.000
Ti1 0.000 0.000 0.500
In1 0.250 0.250 0.250
Ag1 0.250 0.250 0.750
```

ΔH_f (0 K), meV/atom: 13
Final energy, eV/atom: -5.8469

(4)
Computed, not measured: a geometry-optimized YHfInAg structure at the PBE-GGA level of DFT.

Structure (CIF):
```
data_YHfInAg
_space_group_name_H-M_alt 'F -4 3 m'
_space_group_IT_number 216
_space_group_name_Hall 'F -4 2 3'
_cell_length_a 7.175
_cell_length_b 7.175
_cell_length_c 7.175
_cell_angle_alpha 90.00
_cell_angle_beta 90.00
_cell_angle_gamma 90.00
loop_
_atom_site_label
_atom_site_fract_x
_atom_site_fract_y
_atom_site_fract_z
Y1 0.000 0.000 0.000
Hf1 0.000 0.000 0.500
In1 0.250 0.250 0.250
Ag1 0.250 0.250 0.750
```

ΔH_f (0 K), meV/atom: -148
Final energy, eV/atom: -5.6500

(5)
Computed, not measured: a geometry-optimized HfAgIr3 structure at the PBE-GGA level of DFT.

Structure (CIF):
```
data_HfAgIr3
_space_group_name_H-M_alt 'P m -3 m'
_space_group_IT_number 221
_space_group_name_Hall '-P 4 2 3'
_cell_length_a 4.826
_cell_length_b 4.826
_cell_length_c 4.826
_cell_angle_alpha 90.00
_cell_angle_beta 90.00
_cell_angle_gamma 90.00
loop_
_atom_site_label
_atom_site_fract_x
_atom_site_fract_y
_atom_site_fract_z
Hf1 0.000 0.000 0.000
Ag1 0.500 0.500 0.500
Ir1 0.000 0.000 0.500
```

Distance to the lowest polymorph of the same formula, meV/atom: 0
ΔH_f (0 K), meV/atom: 1477
Final energy, eV/atom: -6.4003

(6)
Computed, not measured: a geometry-optimized HfAgIr3 structure at the PBE-GGA level of DFT.

Structure (CIF):
```
data_HfAgIr3
_space_group_name_H-M_alt 'P m -3 m'
_space_group_IT_number 221
_space_group_name_Hall '-P 4 2 3'
_cell_length_a 4.717
_cell_length_b 4.717
_cell_length_c 4.717
_cell_angle_alpha 90.00
_cell_angle_beta 90.00
_cell_angle_gamma 90.00
loop_
_atom_site_label
_atom_site_fract_x
_atom_site_fract_y
_atom_site_fract_z
Hf1 0.000 0.000 0.000
Ag1 0.500 0.500 0.500
Ir1 0.000 0.500 0.500
```

Distance to the lowest polymorph of the same formula, meV/atom: 255
ΔH_f (0 K), meV/atom: 1732
Final energy, eV/atom: -6.1452